# 1
The following is a DFT calculation (PBE) of a geometry-optimized Sm3YPd structure.

## Properties
* M_tot: 0.00 μB/cell
* VASP energy: -5.40 eV/atom
* volume: 159 Å³/f.u.
* formation energy: -0.239 eV/atom
* DOS(E_F): 15.447 states/eV per cell

a = 7.2960 Å, b = 7.2960 Å, c = 7.6350 Å
α = 104.61°, β = 114.40°, γ = 107.68°
Fractional positions:
Y  0.6976  0.0699  0.7675
Y  0.3024  0.9301  0.2325
Sm  0.2737  0.5405  0.8142
Sm  0.7711  0.5921  0.7594
Sm  0.1672  0.9882  0.7594
Sm  0.2289  0.4079  0.2406
Sm  0.7263  0.4595  0.1858
Sm  0.8328  0.0118  0.2406
Pd  0.6423  0.7692  0.4115
Pd  0.3577  0.2308  0.5885

=====

# 2
The following is a DFT calculation (PBE) of a geometry-optimized PrTh2Bi3 structure.

## Properties
* M_tot: 0.00 μB/cell
* VASP energy: -5.91 eV/atom
* volume: 208 Å³/f.u.
* formation energy: -0.704 eV/atom
* DOS(E_F): 3.369 states/eV per cell

a = 4.6015 Å, b = 6.5139 Å, c = 7.9981 Å
α = 114.03°, β = 106.72°, γ = 90.00°
Fractional positions:
Bi  0.5000  0.0000  0.5000
Bi  0.1683  0.6683  0.8366
Bi  0.8317  0.3317  0.1634
Th  0.8346  0.8346  0.1691
Th  0.1654  0.1654  0.8309
Pr  0.5000  0.5000  0.5000

=====

# 3
The following is a DFT calculation (PBE) of a geometry-optimized ZnCu2Au structure.

## Properties
* M_tot: 0.00 μB/cell
* VASP energy: -3.07 eV/atom
* volume: 62 Å³/f.u.
* formation energy: 0.114 eV/atom
* DOS(E_F): 1.808 states/eV per cell

a = 3.6677 Å, b = 3.6677 Å, c = 9.5552 Å
α = 78.94°, β = 78.94°, γ = 90.00°
Fractional positions:
Au  0.7500  0.2500  0.5000
Au  0.0000  0.0000  0.0000
Cu  0.8750  0.8718  0.7500
Cu  0.1282  0.6250  0.2500
Cu  0.3750  0.3782  0.7500
Cu  0.6218  0.1250  0.2500
Zn  0.2500  0.7500  0.5000
Zn  0.5000  0.5000  0.0000